Record 1
## AcLaCd (PBE)

Data for a relaxed structure of AcLaCd.

Output
DFT total energy: -3.52 eV per atom
Space group: Cmcm
Crystal system: orthorhombic
Calculated volume: 35.26 A^3/atom
Polymorph energy (0 for the lowest one): 0.00 eV/f.u.

```
AcLaCd
1.0
2.013 -9.020 0.000
2.013 9.020 0.000
0.000 0.000 5.826
Ac La Cd
2 2 2
direct
0.081 0.919 0.750
0.919 0.081 0.250
0.230 0.770 0.250
0.770 0.230 0.750
0.419 0.581 0.750
0.581 0.419 0.250
```



Record 2
## KFeCo (PBE)

Data for a relaxed structure of KFeCo.

Output
DFT total energy: -4.94 eV per atom
Space group: P1
Crystal system: triclinic
Calculated volume: 24.16 A^3/atom
Polymorph energy (0 for the lowest one): 0.60 eV/f.u.

```
KFeCo
1.0
3.548 0.000 0.000
0.000 3.549 0.000
1.709 0.032 11.514
K Fe Co
2 2 2
direct
0.000 0.000 0.000
0.321 0.507 0.365
0.133 0.499 0.746
0.634 0.998 0.742
0.196 0.000 0.614
0.697 0.500 0.614
```



Record 3
## Gd2AuC (PBE)

Data for a relaxed structure of Gd2AuC.

Output
DFT total energy: -10.64 eV per atom
Space group: R-3m
Crystal system: trigonal
Calculated volume: 21.53 A^3/atom

```
Gd2AuC
1.0
1.856 1.071 7.219
-1.856 1.071 7.219
0.000 -2.143 7.219
Gd Au C
2 1 1
direct
0.229 0.229 0.229
0.771 0.771 0.771
0.000 0.000 0.000
0.500 0.500 0.500
```



Record 4
## Ac6Ge3Se2S (PBE)

Data for a relaxed structure of Ac6Ge3Se2S.

Output
DFT total energy: -5.50 eV per atom
Space group: C2/m
ΔE_f (raw): -131.6 kJ/mol of atoms
Crystal system: monoclinic
Calculated volume: 33.17 A^3/atom

```
Ac6Ge3Se2S
1.0
9.880 -2.277 0.000
9.880 2.277 0.000
-2.006 0.000 8.844
Ac Ge Se S
6 3 2 1
direct
0.003 0.003 0.250
0.333 0.333 0.424
0.336 0.336 0.910
0.664 0.664 0.090
0.667 0.667 0.576
0.997 0.997 0.750
0.167 0.167 0.334
0.500 0.500 0.000
0.833 0.833 0.666
0.166 0.166 0.833
0.834 0.834 0.167
0.500 0.500 0.500
```



Record 5
## CaMg2Sc (PBE)

Data for a relaxed structure of CaMg2Sc.

Output
DFT total energy: -2.78 eV per atom
Space group: C2/m
Crystal system: monoclinic
Calculated volume: 27.86 A^3/atom

```
CaMg2Sc
1.0
5.450 -1.708 0.000
5.450 1.708 0.000
-1.044 0.000 5.984
Ca Mg Sc
1 2 1
direct
0.000 0.000 0.000
0.243 0.243 0.725
0.757 0.757 0.275
0.500 0.500 0.500
```



Record 6
## LiY2TlF (PBE)

Data for a relaxed structure of LiY2TlF.

Output
DFT total energy: -4.98 eV per atom
Space group: P4/mmm
ΔE_f (raw): -112.7 kJ/mol of atoms
Crystal system: tetragonal
Calculated volume: 20.71 A^3/atom

```
LiY2TlF
1.0
5.017 0.000 0.000
0.000 5.017 0.000
0.000 0.000 4.114
Li Y Tl F
1 2 1 1
direct
0.000 0.000 0.000
0.000 0.500 0.500
0.500 0.000 0.500
0.500 0.500 0.000
0.000 0.000 0.500
```



Record 7
## Th3Cd4Au4 (PBE)

Data for a relaxed structure of Th3Cd4Au4.

Output
DFT total energy: -3.97 eV per atom
Space group: Immm
Crystal system: orthorhombic
Calculated volume: 24.13 A^3/atom

```
Th3Cd4Au4
1.0
-2.145 3.979 7.775
2.145 -3.979 7.775
2.145 3.979 -7.775
Th Cd Au
3 4 4
direct
0.000 0.000 0.000
0.381 0.881 0.500
0.619 0.119 0.500
0.019 0.330 0.689
0.358 0.670 0.689
0.642 0.330 0.311
0.981 0.670 0.311
0.235 0.235 0.000
0.308 0.500 0.808
0.692 0.500 0.192
0.765 0.765 0.000
```



Record 8
## CaCrTc (PBE)

Data for a relaxed structure of CaCrTc.

Output
DFT total energy: -6.94 eV per atom
Space group: I4mm
Crystal system: tetragonal
Calculated volume: 19.14 A^3/atom
Polymorph energy (0 for the lowest one): 0.00 eV/f.u.

```
CaCrTc
1.0
-1.589 1.589 5.689
1.589 -1.589 5.689
1.589 1.589 -5.689
Ca Cr Tc
1 1 1
direct
0.000 0.000 0.000
0.288 0.288 0.000
0.700 0.700 0.000
```